w:
Compound: AlCuAu
Source: Alexandria via LeMat-Bulk
Functional: PBE
Structure: relaxed

## Properties
Crystal system ... orthorhombic
Space-group type ... Ama2

```
AlCuAu
1.0
-2.674 3.259 1.622
-3.770 -2.935 -0.318
2.621 0.157 4.004
Al Cu Au
2 2 2
Cartesian
-3.918 0.855 1.255
-3.044 -1.894 1.930
-0.808 -0.796 3.411
-1.698 1.914 2.788
-1.384 0.000 0.863
-3.385 0.023 3.806
```


x:
Compound: AlCuAu
Source: Alexandria via LeMat-Bulk
Functional: PBE
Structure: relaxed

## Properties
Crystal system ... trigonal
Space-group type ... R3m

```
AlCuAu
1.0
-1.792 -3.400 0.752
1.851 -1.847 2.915
-2.091 0.315 3.295
Cu Au Al
1 1 1
Cartesian
-1.486 -3.606 5.091
-0.087 -0.211 0.298
-0.689 -1.672 2.361
```


Winner for stability: w